The following is a PBE-GGA calculation of an optimized crystal structure of Sc2TaNb2, from Alexandria via LeMat-Bulk. Values from VASP.

Results
N(E_F)   1.24 states/eV per atom
Symmetry   P4/mbm (127)
DFT total energy   -8.38 eV per atom
ΔH_f (0 K)   2.74 eV per formula unit

Quantum ESPRESSO input file:
```
&SYSTEM
  ibrav = 0, nat = 10, ntyp = 3
/
ATOMIC_SPECIES
Sc 44.96 Sc.upf
Ta 180.95 Ta.upf
Nb 92.91 Nb.upf
ATOMIC_POSITIONS angstrom
Sc 0.983 2.796 0.000
Sc 2.796 6.575 0.000
Sc 4.762 0.983 0.000
Sc 6.575 4.762 0.000
Ta 0.000 0.000 0.000
Ta 3.779 3.779 0.000
Nb 1.314 5.092 1.748
Nb 2.465 1.314 1.748
Nb 5.092 6.244 1.748
Nb 6.244 2.465 1.748
CELL_PARAMETERS angstrom
7.558 0.000 0.000
0.000 7.558 0.000
0.000 0.000 3.496
```